(1)
# PBE Cs12Tl5Ag3, optimized geometry
data_Cs12Tl5Ag3
_chemical_formula_sum 'Cs96 Tl40 Ag24'
_symmetry_space_group_name_H-M 'I a -3 d'
_symmetry_Int_Tables_number 230
_symmetry_space_group_name_Hall '-I 4bd 2c 3'
_cell_length_a 22.5610
_cell_length_b 22.5610
_cell_length_c 22.5610
_cell_angle_alpha 90.00
_cell_angle_beta 90.00
_cell_angle_gamma 90.00
loop_
_atom_site_label
_atom_site_fract_x
_atom_site_fract_y
_atom_site_fract_z
Cs1 0.0220 0.0796 0.6503
Tl1 0.0000 0.0000 0.0000
Tl2 0.0000 0.2500 0.3750
Ag1 0.0000 0.2500 0.1250
# raw total energy = -1.3307 eV per atom
# calculated density = 3.4 g/cm3
# energy of formation = 4.628 kcal/mol of atoms



(2)
# PBE PRuAu, optimized geometry
data_PRuAu
_chemical_formula_sum 'P2 Ru2 Au2'
_symmetry_space_group_name_H-M 'I 4 m m'
_symmetry_Int_Tables_number 107
_symmetry_space_group_name_Hall 'I 4 -2'
_cell_length_a 2.9990
_cell_length_b 2.9990
_cell_length_c 10.2750
_cell_angle_alpha 90.00
_cell_angle_beta 90.00
_cell_angle_gamma 90.00
loop_
_atom_site_label
_atom_site_fract_x
_atom_site_fract_y
_atom_site_fract_z
P1 0.0000 0.0000 0.0000
Ru1 0.0000 0.0000 0.6019
Au1 0.0000 0.0000 0.3080
# raw total energy = -6.0164 eV per atom
# calculated density = 11.8 g/cm3
# energy of formation = -0.661 kcal/mol of atoms
# energy above the lowest structure with this stoichiometry = 0.191 eV/f.u.



(3)
# PBE Dy6YTm2, optimized geometry
data_Dy6YTm2
_chemical_formula_sum 'Dy6 Y1 Tm2'
_symmetry_space_group_name_H-M 'P -1'
_symmetry_Int_Tables_number 2
_symmetry_space_group_name_Hall '-P 1'
_cell_length_a 3.5366
_cell_length_b 8.6462
_cell_length_c 9.3437
_cell_angle_alpha 89.99
_cell_angle_beta 79.16
_cell_angle_gamma 89.93
loop_
_atom_site_label
_atom_site_fract_x
_atom_site_fract_y
_atom_site_fract_z
Dy1 0.1113 0.3336 0.2786
Dy2 0.2215 0.6661 0.0566
Dy3 0.3328 0.0003 0.8337
Y1 0.0000 0.0000 0.5000
Tm1 0.4443 0.3349 0.6110
# raw total energy = -4.7597 eV per atom
# calculated density = 8.3 g/cm3
# energy of formation = 0.468 kcal/mol of atoms
# energy above the lowest structure with this stoichiometry = 0.000 eV/f.u.



(4)
# PBE ScTlFe, optimized geometry
data_ScTlFe
_chemical_formula_sum 'Sc4 Tl4 Fe4'
_symmetry_space_group_name_H-M 'F -4 3 m'
_symmetry_Int_Tables_number 216
_symmetry_space_group_name_Hall 'F -4 2 3'
_cell_length_a 6.5484
_cell_length_b 6.5484
_cell_length_c 6.5484
_cell_angle_alpha 90.00
_cell_angle_beta 90.00
_cell_angle_gamma 90.00
loop_
_atom_site_label
_atom_site_fract_x
_atom_site_fract_y
_atom_site_fract_z
Sc1 0.0000 0.0000 0.0000
Tl1 0.2500 0.2500 0.7500
Fe1 0.2500 0.2500 0.2500
# raw total energy = -5.0098 eV per atom
# calculated density = 7.2 g/cm3
# energy of formation = 16.381 kcal/mol of atoms



(5)
# PBE BaYPd2, optimized geometry
data_BaYPd2
_chemical_formula_sum 'Ba1 Y1 Pd2'
_symmetry_space_group_name_H-M 'P 4/m m m'
_symmetry_Int_Tables_number 123
_symmetry_space_group_name_Hall '-P 4 2'
_cell_length_a 5.2794
_cell_length_b 5.2794
_cell_length_c 3.6255
_cell_angle_alpha 90.00
_cell_angle_beta 90.00
_cell_angle_gamma 90.00
loop_
_atom_site_label
_atom_site_fract_x
_atom_site_fract_y
_atom_site_fract_z
Ba1 0.0000 0.0000 0.0000
Y1 0.5000 0.5000 0.0000
Pd1 0.0000 0.5000 0.5000
# raw total energy = -5.2263 eV per atom
# calculated density = 7.2 g/cm3
# energy of formation = -12.296 kcal/mol of atoms
# energy above the lowest structure with this stoichiometry = 0.621 eV/f.u.



(6)
# PBE LiCaCeN2, optimized geometry
data_LiCaCeN2
_chemical_formula_sum 'Li1 Ca1 Ce1 N2'
_symmetry_space_group_name_H-M 'P 3 m 1'
_symmetry_Int_Tables_number 156
_symmetry_space_group_name_Hall 'P 3 -2"'
_cell_length_a 3.7314
_cell_length_b 3.7314
_cell_length_c 6.3897
_cell_angle_alpha 90.00
_cell_angle_beta 90.00
_cell_angle_gamma 120.00
loop_
_atom_site_label
_atom_site_fract_x
_atom_site_fract_y
_atom_site_fract_z
Li1 0.0000 0.0000 0.0000
Ca1 0.3333 0.6667 0.7451
Ce1 0.6667 0.3333 0.3154
N1 0.0000 0.0000 0.4684
N2 0.6667 0.3333 0.9529
# raw total energy = -6.1807 eV per atom
# calculated density = 4.6 g/cm3



(7)
# PBE Pm4NdPd5, optimized geometry
data_Pm4NdPd5
_chemical_formula_sum 'Pm4 Nd1 Pd5'
_symmetry_space_group_name_H-M 'P 4/m m m'
_symmetry_Int_Tables_number 123
_symmetry_space_group_name_Hall '-P 4 2'
_cell_length_a 3.5674
_cell_length_b 3.5674
_cell_length_c 18.3828
_cell_angle_alpha 90.00
_cell_angle_beta 90.00
_cell_angle_gamma 90.00
loop_
_atom_site_label
_atom_site_fract_x
_atom_site_fract_y
_atom_site_fract_z
Pm1 0.0000 0.0000 0.0997
Pm2 0.0000 0.0000 0.2991
Nd1 0.0000 0.0000 0.5000
Pd1 0.5000 0.5000 0.0000
Pd2 0.5000 0.5000 0.1994
Pd3 0.5000 0.5000 0.3977
# raw total energy = -5.7328 eV per atom
# calculated density = 8.9 g/cm3
# energy of formation = -17.510 kcal/mol of atoms



(8)
# PBE Tb2LuTi, optimized geometry
data_Tb2LuTi
_chemical_formula_sum 'Tb2 Lu1 Ti1'
_symmetry_space_group_name_H-M 'P 4/m m m'
_symmetry_Int_Tables_number 123
_symmetry_space_group_name_Hall '-P 4 2'
_cell_length_a 4.7911
_cell_length_b 4.7911
_cell_length_c 4.6963
_cell_angle_alpha 90.00
_cell_angle_beta 90.00
_cell_angle_gamma 90.00
loop_
_atom_site_label
_atom_site_fract_x
_atom_site_fract_y
_atom_site_fract_z
Tb1 0.0000 0.5000 0.0000
Lu1 0.0000 0.0000 0.5000
Ti1 0.5000 0.5000 0.5000
# raw total energy = -5.2212 eV per atom
# calculated density = 8.3 g/cm3
# energy of formation = 4.565 kcal/mol of atoms
# energy above the lowest structure with this stoichiometry = 0.043 eV/f.u.



(9)
# PBE BaSrZnAu, optimized geometry
data_BaSrZnAu
_chemical_formula_sum 'Ba2 Sr2 Zn2 Au2'
_symmetry_space_group_name_H-M 'A m m 2'
_symmetry_Int_Tables_number 38
_symmetry_space_group_name_Hall 'A 2 -2'
_cell_length_a 4.6749
_cell_length_b 4.6385
_cell_length_c 12.2898
_cell_angle_alpha 90.00
_cell_angle_beta 90.00
_cell_angle_gamma 90.00
loop_
_atom_site_label
_atom_site_fract_x
_atom_site_fract_y
_atom_site_fract_z
Ba1 0.0000 0.0000 0.0000
Sr1 0.5000 0.0000 0.2828
Zn1 0.5000 0.0000 0.5888
Au1 0.0000 0.0000 0.7096
# raw total energy = -2.5138 eV per atom
# calculated density = 6.1 g/cm3
# energy of formation = -10.949 kcal/mol of atoms
# energy above the lowest structure with this stoichiometry = 0.000 eV/f.u.



(10)
# PBE Li8IN2, optimized geometry
data_Li8IN2
_chemical_formula_sum 'Li16 I2 N4'
_symmetry_space_group_name_H-M 'C 1 2/m 1'
_symmetry_Int_Tables_number 12
_symmetry_space_group_name_Hall '-C 2y'
_cell_length_a 6.6952
_cell_length_b 10.4481
_cell_length_c 4.2082
_cell_angle_alpha 90.00
_cell_angle_beta 97.39
_cell_angle_gamma 90.00
loop_
_atom_site_label
_atom_site_fract_x
_atom_site_fract_y
_atom_site_fract_z
Li1 0.0000 0.2143 0.0000
Li2 0.0790 0.0000 0.7304
Li3 0.1997 0.3422 0.5562
I1 0.0000 0.5000 0.0000
N1 0.0000 0.1808 0.5000
# raw total energy = -3.4166 eV per atom
# calculated density = 2.4 g/cm3



(11)
# PBE NaSrB5O9, optimized geometry
data_NaSrB5O9
_chemical_formula_sum 'Na4 Sr4 B20 O36'
_symmetry_space_group_name_H-M 'P 1 21/c 1'
_symmetry_Int_Tables_number 14
_symmetry_space_group_name_Hall '-P 2ybc'
_cell_length_a 6.5603
_cell_length_b 14.1586
_cell_length_c 8.2036
_cell_angle_alpha 90.00
_cell_angle_beta 106.70
_cell_angle_gamma 90.00
loop_
_atom_site_label
_atom_site_fract_x
_atom_site_fract_y
_atom_site_fract_z
Na1 0.0311 0.0841 0.3435
Sr1 0.4020 0.7313 0.4469
B1 0.0548 0.1465 0.8620
B2 0.0861 0.2453 0.6160
B3 0.2866 0.5513 0.7353
B4 0.3395 0.1120 0.7264
B5 0.4116 0.5577 0.1713
O1 0.0115 0.1759 0.0211
O2 0.0182 0.7256 0.7643
O3 0.0733 0.5611 0.7009
O4 0.2484 0.1883 0.5947
O5 0.2734 0.0193 0.6492
O6 0.2798 0.1291 0.8812
O7 0.3410 0.6471 0.1560
O8 0.3676 0.0383 0.2851
O9 0.4228 0.6255 0.7296
# raw total energy = -7.6205 eV per atom
# calculated density = 2.8 g/cm3



(12)
# PBE NaZrUSe4, optimized geometry
data_NaZrUSe4
_chemical_formula_sum 'Na4 Zr4 U4 Se16'
_symmetry_space_group_name_H-M 'I m m a'
_symmetry_Int_Tables_number 74
_symmetry_space_group_name_Hall '-I 2b 2'
_cell_length_a 8.0416
_cell_length_b 8.6998
_cell_length_c 11.5685
_cell_angle_alpha 90.00
_cell_angle_beta 90.00
_cell_angle_gamma 90.00
loop_
_atom_site_label
_atom_site_fract_x
_atom_site_fract_y
_atom_site_fract_z
Na1 0.0000 0.2500 0.1410
Zr1 0.2500 0.2500 0.7500
U1 0.0000 0.0000 0.5000
Se1 0.0000 0.0348 0.7471
Se2 0.2333 0.2500 0.5138
# raw total energy = -6.2401 eV per atom
# calculated density = 5.5 g/cm3



(13)
# PBE Eu2TeI, optimized geometry
data_Eu2TeI
_chemical_formula_sum 'Eu2 Te1 I1'
_symmetry_space_group_name_H-M 'P 4/m m m'
_symmetry_Int_Tables_number 123
_symmetry_space_group_name_Hall '-P 4 2'
_cell_length_a 4.0123
_cell_length_b 4.0123
_cell_length_c 8.0404
_cell_angle_alpha 90.00
_cell_angle_beta 90.00
_cell_angle_gamma 90.00
loop_
_atom_site_label
_atom_site_fract_x
_atom_site_fract_y
_atom_site_fract_z
Eu1 0.0000 0.0000 0.2298
Te1 0.5000 0.5000 0.0000
I1 0.5000 0.5000 0.5000
# raw total energy = -7.6016 eV per atom
# calculated density = 7.2 g/cm3
# energy above the lowest structure with this stoichiometry = 0.480 eV/f.u.